Entry 1:
Compound: Sr5ErBi5
Source: the Alexandria database
Functional: PBE-GGA
Structure: optimized geometry

Lattice parameters (Å, degrees): 8.514 8.514 9.300 106.52 106.52 46.06
Sites, in units of the cell vectors:
1 Sr 0.000 0.000 0.000
2 Sr 0.313 0.313 0.177
3 Sr 0.325 0.325 0.651
4 Sr 0.675 0.675 0.349
5 Sr 0.687 0.687 0.823
6 Er 0.000 0.000 0.500
7 Bi 0.148 0.148 0.336
8 Bi 0.157 0.157 0.820
9 Bi 0.500 0.500 0.500
10 Bi 0.843 0.843 0.180
11 Bi 0.852 0.852 0.664

Values from the calculation:
The value obtained for the total DFT energy (no corrections) is -3.644 eV per atom. The density of states at the Fermi level is 0.881 states/eV/atom. The energy of formation from the pure elements is -0.7011 eV/atom. The volume comes out at 461.7 Å³/cell.

Entry 2:
Compound: InSnB3
Source: the Alexandria database
Functional: PBE-GGA
Structure: optimized geometry

Lattice parameters (Å, degrees): 4.565 4.565 4.565 90.00 90.00 90.00
Sites, in units of the cell vectors:
1 In 0.000 0.000 0.000
2 Sn 0.500 0.500 0.500
3 B 0.000 0.500 0.500
4 B 0.500 0.000 0.500
5 B 0.500 0.500 0.000

Values from the calculation:
The value obtained for the relative energy among the computed polymorphs is 0 meV/atom. The value obtained for the total DFT energy (no corrections) is -3.364 eV per atom. The density of states at the Fermi level is 0.401 states/eV/atom. The energy of formation from the pure elements is 1.9904 eV/atom. The volume comes out at 95.1 Å³/cell.

Entry 3:
Compound: CoNi
Source: the Alexandria database
Functional: PBE-GGA
Structure: optimized geometry

Lattice parameters (Å, degrees): 3.581 3.581 4.679 90.00 90.00 120.00
Sites, in units of the cell vectors:
1 Co 0.000 0.000 0.000
2 Co 0.000 0.000 0.500
3 Ni 0.333 0.667 0.250
4 Ni 0.667 0.333 0.750

Values from the calculation:
The value obtained for the total DFT energy (no corrections) is -5.841 eV per atom. The density of states at the Fermi level is 1.383 states/eV/atom. The energy of formation from the pure elements is 0.6028 eV/atom. The volume comes out at 52.0 Å³/cell.

Entry 4:
Compound: KPuZnSe3
Source: the Alexandria database
Functional: PBE-GGA
Structure: optimized geometry

Lattice parameters (Å, degrees): 9.086 4.194 9.889 90.00 106.61 90.00
Sites, in units of the cell vectors:
1 K 0.206 0.250 0.232
2 K 0.794 0.750 0.768
3 Pu 0.328 0.750 0.854
4 Pu 0.672 0.250 0.146
5 Zn 0.085 0.250 0.607
6 Zn 0.915 0.750 0.393
7 Se 0.105 0.250 0.858
8 Se 0.201 0.750 0.531
9 Se 0.459 0.750 0.155
10 Se 0.541 0.250 0.845
11 Se 0.799 0.250 0.469
12 Se 0.895 0.750 0.142

Values from the calculation:
The value obtained for the total DFT energy (no corrections) is -5.711 eV per atom. The density of states at the Fermi level is 1.757 states/eV/atom. For the raw formation energy, the calculation gives -1.185 eV per atom. The volume comes out at 361.1 Å³/cell.

Entry 5:
Compound: La4AlTe3
Source: the Alexandria database
Functional: PBE-GGA
Structure: optimized geometry

Lattice parameters (Å, degrees): 7.955 9.188 7.892 90.00 109.56 90.00
Sites, in units of the cell vectors:
1 La 0.241 0.120 0.001
2 La 0.241 0.880 0.501
3 La 0.242 0.365 0.491
4 La 0.242 0.635 0.991
5 La 0.758 0.365 0.009
6 La 0.758 0.635 0.509
7 La 0.759 0.120 0.499
8 La 0.759 0.880 0.999
9 Al 0.000 0.125 0.250
10 Al 0.000 0.875 0.750
11 Te 0.000 0.376 0.750
12 Te 0.000 0.624 0.250
13 Te 0.500 0.126 0.750
14 Te 0.500 0.379 0.250
15 Te 0.500 0.621 0.750
16 Te 0.500 0.874 0.250

Values from the calculation:
The value obtained for the total DFT energy (no corrections) is -5.368 eV per atom. The density of states at the Fermi level is 0.343 states/eV/atom. For the raw formation energy, the calculation gives -1.259 eV per atom. The volume comes out at 543.5 Å³/cell.

Entry 6:
Compound: RbMg2CuHg
Source: the Alexandria database
Functional: PBE-GGA
Structure: optimized geometry

Lattice parameters (Å, degrees): 7.580 7.580 6.142 90.00 90.00 90.00
Sites, in units of the cell vectors:
1 Rb 0.000 0.000 0.000
2 Mg 0.000 0.500 0.000
3 Mg 0.500 0.000 0.000
4 Cu 0.000 0.000 0.500
5 Hg 0.500 0.500 0.500

Values from the calculation:
The value obtained for the total DFT energy (no corrections) is -0.783 eV per atom. The density of states at the Fermi level is 0.000 states/eV/atom. The energy of formation from the pure elements is 0.9278 eV/atom. The volume comes out at 352.9 Å³/cell.

Q: Which of these has the highest total DFT energy (no corrections)?
A: RbMg2CuHg

Q: What is the total DFT energy (no corrections) in the fourth record?
A: -5.711 eV per atom

Q: What is the total DFT energy (no corrections) in the fifth record?
A: -5.368 eV per atom